A geometry-optimized Tb2NdSm4Tm structure, computed with PBE.

POSCAR file:
```
Tb2NdSm4Tm
1.0
3.6070 0.0000 0.0000
0.0000 6.2240 -0.0860
0.0000 2.2655 11.7159
Tb Sm Tm Nd
2 4 1 1
Cartesian
0.0000 2.2655 11.7159
1.8035 1.1327 5.8579
1.8035 3.2560 8.7347
1.8035 5.2334 2.8951
3.6070 2.1193 2.9397
0.0001 6.3702 8.6901
0.0000 4.2447 5.8150
1.8035 3.1120 -0.0430
```

Summary:
**Total DFT energy (no corrections)**: -37.23 eV per cell
**Space group**: P2/m, No. 10
**Calculated formation energy**: 0.018 eV per atom
**DOS(E_F)**: 11.3 states/eV per cell